P) DFT (GGA-PBE) results for ReAsOsSe2 after structural relaxation.

Unit cell a=4.7555 b=4.7555 c=4.7896 alpha=90.00 beta=90.00 gamma=90.00
Fractional positions:
Re 0.0000 0.0000 0.0000
As 0.0000 0.0000 0.5000
Os 0.5000 0.5000 0.5000
Se 0.0000 0.5000 0.0000
Se 0.5000 0.0000 0.0000

Results
total magnetization = 0.607 μB per formula unit
SG = No. 123
theoretical density = 9.34 g/cm3
crystal system = tetragonal

---

Q) DFT (GGA-PBE) results for ReAsOsSe2 after structural relaxation.

Unit cell a=4.9530 b=4.9530 c=4.6367 alpha=90.00 beta=90.00 gamma=90.00
Fractional positions:
Re 0.0000 0.0000 0.0000
As 0.5000 0.5000 0.0000
Os 0.5000 0.5000 0.5000
Se 0.0000 0.5000 0.5000
Se 0.5000 0.0000 0.5000

Results
total magnetization = 2.904 μB per formula unit
SG = No. 123
theoretical density = 8.89 g/cm3
crystal system = tetragonal

---

Which structure loses on stability? P) does.

---

P) DFT (GGA-PBE) results for As2OsRh after structural relaxation.

Unit cell a=5.4663 b=5.4663 c=5.4663 alpha=147.26 beta=133.94 gamma=57.65
Fractional positions:
As 0.0000 0.0000 0.0000
As 0.7249 0.2249 0.5000
Os 0.2108 0.7108 0.5000
Rh 0.5016 0.5016 0.0000

Results
total magnetization = 0.000 μB per formula unit
SG = No. 44
theoretical density = 11.66 g/cm3
crystal system = orthorhombic

---

Q) DFT (GGA-PBE) results for As2OsRh after structural relaxation.

Unit cell a=2.8274 b=2.8274 c=10.0548 alpha=90.00 beta=90.00 gamma=119.47
Fractional positions:
As 0.0000 0.0000 0.0000
As 0.5000 0.5000 0.3533
Os 0.5000 0.5000 0.7929
Rh 0.0000 0.0000 0.5603

Results
total magnetization = 0.001 μB per formula unit
SG = No. 35
theoretical density = 10.51 g/cm3
crystal system = orthorhombic

---

R) DFT (GGA-PBE) results for As2OsRh after structural relaxation.

Unit cell a=3.0396 b=4.0923 c=5.0910 alpha=90.00 beta=90.00 gamma=90.00
Fractional positions:
As 0.0000 0.0000 0.0000
As 0.5000 0.0000 0.5000
Os 0.0000 0.5000 0.5000
Rh 0.5000 0.5000 0.0000

Results
total magnetization = 0.000 μB per formula unit
SG = No. 47
theoretical density = 11.62 g/cm3
crystal system = orthorhombic

---

S) DFT (GGA-PBE) results for As2OsRh after structural relaxation.

Unit cell a=3.1164 b=3.1164 c=6.2062 alpha=90.00 beta=90.00 gamma=90.00
Fractional positions:
As 0.0000 0.0000 0.2494
As 0.0000 0.0000 0.7506
Os 0.5000 0.5000 0.0000
Rh 0.5000 0.5000 0.5000

Results
total magnetization = 0.000 μB per formula unit
SG = No. 123
theoretical density = 12.20 g/cm3
crystal system = tetragonal

---

Which structure loses on stability? R) does.

---

P) DFT (GGA-PBE) results for As2OsRh after structural relaxation.

Unit cell a=3.0685 b=4.1751 c=5.0243 alpha=90.00 beta=91.11 gamma=90.00
Fractional positions:
As 0.1290 0.0000 0.2667
As 0.8710 0.0000 0.7333
Os 0.0000 0.5000 0.0000
Rh 0.5000 0.5000 0.5000

Results
total magnetization = 0.000 μB per formula unit
SG = No. 10
theoretical density = 11.43 g/cm3
crystal system = monoclinic

---

Q) DFT (GGA-PBE) results for As2OsRh after structural relaxation.

Unit cell a=2.9610 b=2.9610 c=8.3582 alpha=90.00 beta=90.00 gamma=119.99
Fractional positions:
As 0.0000 0.0000 0.2485
As 0.0000 0.0000 0.7515
Os 0.5000 0.5000 0.0000
Rh 0.5000 0.5000 0.5000

Results
total magnetization = 0.000 μB per formula unit
SG = No. 65
theoretical density = 11.59 g/cm3
crystal system = orthorhombic

---

R) DFT (GGA-PBE) results for As2OsRh after structural relaxation.

Unit cell a=3.0708 b=3.8517 c=5.2286 alpha=90.00 beta=90.00 gamma=90.00
Fractional positions:
As 0.0000 0.0000 0.0000
As 0.5000 0.5000 0.3689
Os 0.0000 0.0000 0.5195
Rh 0.5000 0.5000 0.8610

Results
total magnetization = 0.000 μB per formula unit
SG = No. 25
theoretical density = 11.89 g/cm3
crystal system = orthorhombic

---

S) DFT (GGA-PBE) results for As2OsRh after structural relaxation.

Unit cell a=3.3190 b=4.7234 c=4.6571 alpha=90.00 beta=110.59 gamma=90.00
Fractional positions:
As 0.0000 0.0000 0.0000
As 0.1875 0.5000 0.3639
Os 0.8872 0.5000 0.7689
Rh 0.3017 0.0000 0.5975

Results
total magnetization = 0.000 μB per formula unit
SG = No. 6
theoretical density = 10.76 g/cm3
crystal system = monoclinic

---

Which structure loses on stability? Q) does.

---

P) DFT (GGA-PBE) results for As2OsRh after structural relaxation.

Unit cell a=6.7223 b=6.7223 c=6.7223 alpha=131.52 beta=131.52 gamma=70.99
Fractional positions:
As 0.1215 0.6250 0.9965
As 0.3750 0.3715 0.4965
As 0.6285 0.1250 0.0035
As 0.8750 0.8785 0.5035
Os 0.0000 0.0000 0.0000
Os 0.7500 0.2500 0.5000
Rh 0.2500 0.7500 0.5000
Rh 0.5000 0.5000 0.0000

Results
total magnetization = 0.000 μB per formula unit
SG = No. 122
theoretical density = 8.82 g/cm3
crystal system = tetragonal

---

Q) DFT (GGA-PBE) results for As2OsRh after structural relaxation.

Unit cell a=2.9444 b=2.9444 c=7.9142 alpha=90.00 beta=90.00 gamma=90.00
Fractional positions:
As 0.0000 0.0000 0.0000
As 0.5000 0.5000 0.3767
Os 0.0000 0.0000 0.5634
Rh 0.5000 0.5000 0.8102

Results
total magnetization = 0.001 μB per formula unit
SG = No. 99
theoretical density = 10.72 g/cm3
crystal system = tetragonal

---

R) DFT (GGA-PBE) results for As2OsRh after structural relaxation.

Unit cell a=7.9224 b=7.9224 c=7.9224 alpha=22.00 beta=22.00 gamma=22.00
Fractional positions:
As 0.2487 0.2487 0.2487
As 0.7513 0.7513 0.7513
Os 0.5000 0.5000 0.5000
Rh 0.0000 0.0000 0.0000

Results
total magnetization = 0.000 μB per formula unit
SG = No. 166
theoretical density = 12.03 g/cm3
crystal system = trigonal

---

Which structure loses on stability? P) does.